BaSeO2: relaxed, GGA-PBEsol.

CIF file:
```
data_BaSeO2
_chemical_formula_sum 'Ba2 Se2 O4'
_cell_length_a 7.406
_cell_length_b 7.406
_cell_length_c 7.406
_cell_angle_alpha 141.56
_cell_angle_beta 141.56
_cell_angle_gamma 55.49
_symmetry_space_group_name_H-M 'P 1'
_symmetry_Int_Tables_number 1
_symmetry_space_group_name_Hall 'P 1'
loop_
_atom_site_label
_atom_site_fract_x
_atom_site_fract_y
_atom_site_fract_z
Ba1 0.000 0.000 0.000
Ba2 0.750 0.250 0.500
Se1 0.250 0.750 0.500
Se2 0.500 0.500 0.000
O1 0.217 0.625 0.092
O2 0.375 0.467 0.592
O3 0.533 0.125 0.908
O4 0.875 0.783 0.408
```

Properties
As for the density of states at the Fermi level: 0.06 states/eV per cell. As for the raw formation energy: -1110.4 meV per atom.